[1]
A PBEsol-optimized structure of Li2SiNiO4, computed with meta-GGA SCAN.

## Properties
excess energy over the best structure of this formula in the dataset: 0.086 eV per atom
total DFT energy (no corrections): -148.30 eV/cell
formation energy without anion corrections: -2282 meV per atom
crystal system: orthorhombic

Geometry as POSCAR:
```
Li2SiNiO4
1.0
3.583 -3.841 0.000
3.583 3.841 0.000
0.000 0.000 6.083
Li Si Ni O
4 2 2 8
direct
0.187 0.813 0.750
0.317 0.317 0.000
0.683 0.683 0.500
0.813 0.187 0.250
0.321 0.321 0.500
0.679 0.679 0.000
0.177 0.823 0.250
0.823 0.177 0.750
0.187 0.194 0.278
0.194 0.187 0.722
0.295 0.632 0.495
0.368 0.705 0.005
0.632 0.295 0.505
0.705 0.368 0.995
0.806 0.813 0.222
0.813 0.806 0.778
```

[2]
A PBEsol-optimized structure of RbTl2Bi2, computed with meta-GGA SCAN.

## Properties
excess energy over the best structure of this formula in the dataset: 0.112 eV per atom
total DFT energy (no corrections): -646.50 eV/cell
ΔH_f (0 K): -0.13 eV/atom
crystal system: tetragonal

Geometry as POSCAR:
```
RbTl2Bi2
1.0
9.566 0.000 0.000
0.000 9.566 0.000
0.000 0.000 3.723
Rb Tl Bi
2 4 4
direct
0.000 0.000 0.000
0.500 0.500 0.000
0.164 0.336 0.500
0.336 0.836 0.500
0.664 0.164 0.500
0.836 0.664 0.500
0.121 0.621 0.000
0.379 0.121 0.000
0.621 0.879 0.000
0.879 0.379 0.000
```

[3]
A PBEsol-optimized structure of AlH2Ru2, computed with meta-GGA SCAN.

## Properties
total DFT energy (no corrections): -85.35 eV/cell
crystal system: tetragonal

Geometry as POSCAR:
```
AlH2Ru2
1.0
-1.492 1.492 5.139
1.492 -1.492 5.139
1.492 1.492 -5.139
Al H Ru
1 2 2
direct
0.000 0.000 0.000
0.250 0.750 0.500
0.750 0.250 0.500
0.356 0.356 0.000
0.644 0.644 0.000
```

[4]
A PBEsol-optimized structure of ZrBeCl2, computed with meta-GGA SCAN.

## Properties
excess energy over the best structure of this formula in the dataset: 0.716 eV per atom
total DFT energy (no corrections): -51.68 eV/cell
formation energy without anion corrections: -167 meV per atom
crystal system: tetragonal

Geometry as POSCAR:
```
ZrBeCl2
1.0
-1.799 1.799 5.042
1.799 -1.799 5.042
1.799 1.799 -5.042
Zr Be Cl
1 1 2
direct
0.000 0.000 0.000
0.750 0.250 0.500
0.250 0.750 0.500
0.500 0.500 0.000
```

Question: Which value of total DFT energy (no corrections) does entry 4 give?
Answer: -51.68 eV/cell